[1]
Here is crystalline PrThC at its relaxed geometry from Alexandria. Energies are from PBE-GGA.

Geometry as CIF:
```
data_PrThC
_chemical_formula_sum 'Pr2 Th2 C2'
_symmetry_space_group_name_H-M 'P 1'
_symmetry_Int_Tables_number 1
_symmetry_space_group_name_Hall 'P 1'
_cell_length_a 3.675
_cell_length_b 5.348
_cell_length_c 7.859
_cell_angle_alpha 90.00
_cell_angle_beta 90.00
_cell_angle_gamma 90.00
loop_
_atom_site_label
_atom_site_type_symbol
_atom_site_fract_x
_atom_site_fract_y
_atom_site_fract_z
Pr1 Pr 0.500 0.500 0.156
Pr2 Pr 0.000 0.000 0.844
Th1 Th 0.000 0.000 0.389
Th2 Th 0.500 0.500 0.611
C1 C 0.500 0.000 0.608
C2 C 0.000 0.500 0.392
```

Its calculated formation energy is -0.17 eV/atom. The total moment comes out at 0.00 μB per cell. The space group is Pmmn (59).

[2]
Here is crystalline PrTh4C4 at its relaxed geometry from Alexandria. Energies are from PBE-GGA.

Geometry as CIF:
```
data_PrTh4C4
_chemical_formula_sum 'Pr1 Th4 C4'
_symmetry_space_group_name_H-M 'P 1'
_symmetry_Int_Tables_number 1
_symmetry_space_group_name_Hall 'P 1'
_cell_length_a 5.323
_cell_length_b 6.551
_cell_length_c 6.550
_cell_angle_alpha 80.49
_cell_angle_beta 66.03
_cell_angle_gamma 66.03
loop_
_atom_site_label
_atom_site_type_symbol
_atom_site_fract_x
_atom_site_fract_y
_atom_site_fract_z
Pr1 Pr 0.000 0.000 0.000
Th1 Th 0.605 0.586 0.204
Th2 Th 0.395 0.414 0.796
Th3 Th 0.191 0.205 0.414
Th4 Th 0.809 0.795 0.586
C1 C 0.907 0.405 0.781
C2 C 0.093 0.595 0.219
C3 C 0.312 0.780 0.595
C4 C 0.688 0.220 0.405
```

Its calculated formation energy is -0.23 eV/atom. The total moment comes out at 0.00 μB per cell. The space group is I4/m (87).

[3]
Here is crystalline Pr3ThC8 at its relaxed geometry from Alexandria. Energies are from PBE-GGA.

Geometry as CIF:
```
data_Pr3ThC8
_chemical_formula_sum 'Pr3 Th1 C8'
_symmetry_space_group_name_H-M 'P 1'
_symmetry_Int_Tables_number 1
_symmetry_space_group_name_Hall 'P 1'
_cell_length_a 6.494
_cell_length_b 6.495
_cell_length_c 6.498
_cell_angle_alpha 67.89
_cell_angle_beta 75.66
_cell_angle_gamma 112.09
loop_
_atom_site_label
_atom_site_type_symbol
_atom_site_fract_x
_atom_site_fract_y
_atom_site_fract_z
Pr1 Pr 0.751 0.500 0.749
Pr2 Pr 0.251 0.500 0.249
Pr3 Pr 0.500 0.000 0.500
Th1 Th 0.000 0.000 0.000
C1 C 0.068 0.000 0.613
C2 C 0.613 0.681 0.387
C3 C 0.932 0.319 0.068
C4 C 0.386 0.000 0.933
C5 C 0.869 0.000 0.603
C6 C 0.602 0.472 0.398
C7 C 0.130 0.528 0.870
C8 C 0.397 0.000 0.131
```

Its calculated formation energy is 0.21 eV/atom. The total moment comes out at 0.00 μB per cell. The space group is I-42m (121).

[4]
Here is crystalline PrThC at its relaxed geometry from Alexandria. Energies are from PBE-GGA.

Geometry as CIF:
```
data_PrThC
_chemical_formula_sum 'Pr1 Th1 C1'
_symmetry_space_group_name_H-M 'P 1'
_symmetry_Int_Tables_number 1
_symmetry_space_group_name_Hall 'P 1'
_cell_length_a 3.334
_cell_length_b 3.334
_cell_length_c 6.740
_cell_angle_alpha 104.32
_cell_angle_beta 104.32
_cell_angle_gamma 90.00
loop_
_atom_site_label
_atom_site_type_symbol
_atom_site_fract_x
_atom_site_fract_y
_atom_site_fract_z
Pr1 Pr 0.964 0.964 0.927
C1 C 0.311 0.311 0.622
Th1 Th 0.725 0.725 0.451
```

Its calculated formation energy is 0.30 eV/atom. The total moment comes out at 0.00 μB per cell. The space group is I4mm (107).

[5]
Here is crystalline Pr2ThTlC at its relaxed geometry from Alexandria. Energies are from PBE-GGA.

Geometry as CIF:
```
data_Pr2ThTlC
_chemical_formula_sum 'Pr2 Th1 Tl1 C1'
_symmetry_space_group_name_H-M 'P 1'
_symmetry_Int_Tables_number 1
_symmetry_space_group_name_Hall 'P 1'
_cell_length_a 5.041
_cell_length_b 5.214
_cell_length_c 5.214
_cell_angle_alpha 90.00
_cell_angle_beta 90.00
_cell_angle_gamma 90.00
loop_
_atom_site_label
_atom_site_type_symbol
_atom_site_fract_x
_atom_site_fract_y
_atom_site_fract_z
Pr1 Pr 0.000 0.000 0.500
Pr2 Pr 0.000 0.500 0.000
Th1 Th 0.500 0.000 0.000
Tl1 Tl 0.500 0.500 0.500
C1 C 0.000 0.000 0.000
```

Its calculated formation energy is -0.25 eV/atom. The total moment comes out at 0.00 μB per cell. The space group is P4/mmm (123).

[6]
Here is crystalline PrTh2UC4 at its relaxed geometry from Alexandria. Energies are from PBE-GGA.

Geometry as CIF:
```
data_PrTh2UC4
_chemical_formula_sum 'Pr1 Th2 U1 C4'
_symmetry_space_group_name_H-M 'P 1'
_symmetry_Int_Tables_number 1
_symmetry_space_group_name_Hall 'P 1'
_cell_length_a 3.726
_cell_length_b 6.397
_cell_length_c 6.409
_cell_angle_alpha 70.85
_cell_angle_beta 90.00
_cell_angle_gamma 90.00
loop_
_atom_site_label
_atom_site_type_symbol
_atom_site_fract_x
_atom_site_fract_y
_atom_site_fract_z
Pr1 Pr 0.500 0.500 0.000
Th1 Th 0.000 0.000 0.000
Th2 Th 0.500 0.000 0.500
U1 U 0.000 0.500 0.500
C1 C 0.000 0.731 0.714
C2 C 0.000 0.269 0.286
C3 C 0.500 0.734 0.274
C4 C 0.500 0.266 0.726
```

Its calculated formation energy is -0.12 eV/atom. The total moment comes out at 0.00 μB per cell. The space group is P2/m (10).